First-principles (PBE-GGA) data for a relaxed structure of TeAsPb4, as listed in the Alexandria database.

For the raw formation energy, the calculation gives 0.359 eV per atom. Its total DFT energy (no corrections) is -3.412 eV per atom. The value obtained for the spin magnetization is 0.00 μB per cell.

POSCAR file:
```
TeAsPb4
1.0
0.000 4.560 4.560
4.560 0.000 4.560
4.560 4.560 0.000
Te As Pb
1 1 4
Cartesian
6.840 6.840 6.840
0.000 0.000 0.000
3.417 5.703 5.703
5.703 5.703 3.417
5.703 3.417 5.703
3.417 3.417 3.417
```



First-principles (PBE-GGA) data for a relaxed structure of Ho2Tm8Th, as listed in the Alexandria database.

The calculation puts the formation energy at 30 meV/atom. Its total DFT energy (no corrections) is -4.729 eV per atom. The value obtained for the spin magnetization is 0.00 μB per cell.

POSCAR file:
```
Ho2Tm8Th
1.0
-1.197 3.573 3.232
1.408 -4.910 5.950
8.405 2.273 -3.214
Ho Tm Th
2 8 1
Cartesian
4.159 2.208 2.911
4.457 -1.271 3.056
7.163 0.642 1.942
3.501 -1.201 6.437
6.244 0.719 5.329
6.887 4.160 1.763
2.372 0.218 0.638
5.115 2.138 -0.470
1.454 0.295 4.025
1.730 -3.223 4.204
-0.598 1.787 1.616
```



First-principles (PBE-GGA) data for a relaxed structure of BeZnPO2, as listed in the Alexandria database.

For the raw formation energy, the calculation gives -0.274 eV per atom. Its total DFT energy (no corrections) is -4.340 eV per atom. The value obtained for the spin magnetization is 0.00 μB per cell. The energy above the most stable polymorph in this dataset is 0.00 eV per formula unit.

POSCAR file:
```
BeZnPO2
1.0
3.396 0.000 0.000
0.000 3.396 0.000
0.000 0.000 5.069
P Zn O Be
1 1 2 1
Cartesian
0.000 0.000 2.535
1.698 1.698 2.535
0.000 1.698 0.000
1.698 0.000 0.000
0.000 0.000 0.000
```



First-principles (PBE-GGA) data for a relaxed structure of NiPCl4, as listed in the Alexandria database.

For the raw formation energy, the calculation gives 1.324 eV per atom. Its total DFT energy (no corrections) is -1.772 eV per atom. The value obtained for the spin magnetization is 2.80 μB per cell.

POSCAR file:
```
NiPCl4
1.0
0.000 4.071 4.071
4.071 0.000 4.071
4.071 4.071 0.000
Ni P Cl
1 1 4
Cartesian
6.107 6.107 6.107
0.000 0.000 0.000
5.084 3.059 5.084
3.059 5.084 5.084
5.084 5.084 3.059
3.059 3.059 3.059
```